{
  "formula": "PrTmTcAg",
  "functional": "PBE-GGA",
  "state": "optimized geometry",
  "space_group": "No. 216",
  "e_form_ev_per_atom": -0.033,
  "dos_ef_per_ev_fu": 3.72,
  "lattice": [[0.0000, 3.5644, 3.5644], [3.5644, 0.0000, 3.5644], [3.5644, 3.5644, 0.0000]],
  "species": ["Pr", "Tm", "Tc", "Ag"],
  "fractional_positions": [[0.0000, 0.0000, 0.0000], [0.5000, 0.5000, 0.5000], [0.2500, 0.2500, 0.2500], [0.7500, 0.7500, 0.7500]]
}


{
  "formula": "PrLuPuMg",
  "functional": "PBE-GGA",
  "state": "optimized geometry",
  "space_group": "No. 216",
  "e_form_ev_per_atom": 0.167,
  "dos_ef_per_ev_fu": 14.18,
  "lattice": [[0.0000, 3.8841, 3.8841], [3.8841, 0.0000, 3.8841], [3.8841, 3.8841, 0.0000]],
  "species": ["Pr", "Lu", "Pu", "Mg"],
  "fractional_positions": [[0.0000, 0.0000, 0.0000], [0.5000, 0.5000, 0.5000], [0.2500, 0.2500, 0.2500], [0.7500, 0.7500, 0.7500]]
}


{
  "formula": "B5C7",
  "functional": "PBE-GGA",
  "state": "optimized geometry",
  "space_group": "No. 3",
  "e_form_ev_per_atom": 0.383,
  "dos_ef_per_ev_fu": 2.17,
  "lattice": [[3.9533, 0.0000, 0.0000], [0.0000, 3.6932, 0.0000], [-1.8644, 0.0000, 5.3970]],
  "species": ["B", "B", "B", "B", "B", "C", "C", "C", "C", "C", "C", "C"],
  "fractional_positions": [[0.0000, 0.0000, 0.0000], [0.1405, 0.5134, 0.3367], [0.3864, 0.2396, 0.1582], [0.6136, 0.2396, 0.8418], [0.8595, 0.5134, 0.6633], [0.0000, 0.2276, 0.5000], [0.1938, 0.7651, 0.8406], [0.3202, 0.9885, 0.6549], [0.5000, 0.5336, 0.0000], [0.5000, 0.7445, 0.5000], [0.6798, 0.9885, 0.3451], [0.8062, 0.7651, 0.1594]]
}


{
  "formula": "Tb2Al6Si4Au",
  "functional": "PBE-GGA",
  "state": "optimized geometry",
  "space_group": "No. 166",
  "e_form_raw_ev_per_atom": -0.3920,
  "dos_ef_per_ev_fu": 5.00,
  "lattice": [[2.1094, 1.2179, 16.7242], [-2.1094, 1.2179, 16.7242], [0.0000, -2.4357, 16.7242]],
  "species": ["Tb", "Tb", "Al", "Al", "Al", "Al", "Al", "Al", "Si", "Si", "Si", "Si", "Au"],
  "fractional_positions": [[0.0649, 0.0649, 0.0649], [0.9351, 0.9351, 0.9351], [0.1839, 0.1839, 0.1839], [0.3145, 0.3145, 0.3145], [0.4472, 0.4472, 0.4472], [0.5528, 0.5528, 0.5528], [0.6855, 0.6855, 0.6855], [0.8161, 0.8161, 0.8161], [0.2344, 0.2344, 0.2344], [0.3643, 0.3643, 0.3643], [0.6357, 0.6357, 0.6357], [0.7656, 0.7656, 0.7656], [0.5000, 0.5000, 0.5000]]
}


{
  "formula": "As2IrPt",
  "functional": "PBE-GGA",
  "state": "optimized geometry",
  "space_group": "No. 44",
  "e_form_ev_per_atom": 0.102,
  "dos_ef_per_ev_fu": 1.95,
  "lattice": [[-1.4608, 2.3392, 4.9010], [1.4608, -2.3392, 4.9010], [1.4608, 2.3392, -4.9010]],
  "species": ["As", "As", "Ir", "Pt"],
  "fractional_positions": [[0.0000, 0.0000, 0.0000], [0.7013, 0.2013, 0.5000], [0.2133, 0.7133, 0.5000], [0.4682, 0.4682, 0.0000]]
}


{
  "formula": "Te2Au",
  "functional": "PBE-GGA",
  "state": "optimized geometry",
  "space_group": "No. 63",
  "e_form_raw_ev_per_atom": 0.3076,
  "dos_ef_per_ev_fu": 2.31,
  "lattice": [[5.2373, -2.7292, 0.0000], [5.2373, 2.7292, 0.0000], [0.0000, 0.0000, 5.5329]],
  "species": ["Te", "Te", "Te", "Te", "Au", "Au"],
  "fractional_positions": [[0.1141, 0.6135, 0.7500], [0.3865, 0.8859, 0.7500], [0.6135, 0.1141, 0.2500], [0.8859, 0.3865, 0.2500], [0.2495, 0.7505, 0.2500], [0.7505, 0.2495, 0.7500]]
}


{
  "formula": "Zn6CuPd5",
  "functional": "PBE-GGA",
  "state": "optimized geometry",
  "space_group": "No. 65",
  "e_form_ev_per_atom": -0.463,
  "dos_ef_per_ev_fu": 4.89,
  "lattice": [[2.1891, -6.5616, 0.0000], [2.1891, 6.5616, 0.0000], [0.0000, 0.0000, 5.9901]],
  "species": ["Zn", "Zn", "Zn", "Zn", "Zn", "Zn", "Cu", "Pd", "Pd", "Pd", "Pd", "Pd"],
  "fractional_positions": [[0.0000, 0.0000, 0.2467], [0.0000, 0.0000, 0.7533], [0.3344, 0.6656, 0.2471], [0.3344, 0.6656, 0.7529], [0.6656, 0.3344, 0.2471], [0.6656, 0.3344, 0.7529], [0.5000, 0.5000, 0.0000], [0.1649, 0.8351, 0.0000], [0.1665, 0.8335, 0.5000], [0.5000, 0.5000, 0.5000], [0.8335, 0.1665, 0.5000], [0.8351, 0.1649, 0.0000]]
}


{
  "formula": "Nd3Er",
  "functional": "PBE-GGA",
  "state": "optimized geometry",
  "space_group": "No. 139",
  "e_form_ev_per_atom": 0.016,
  "dos_ef_per_ev_fu": 5.85,
  "lattice": [[-2.5772, 2.5772, 5.1273], [2.5772, -2.5772, 5.1273], [2.5772, 2.5772, -5.1273]],
  "species": ["Nd", "Nd", "Nd", "Er"],
  "fractional_positions": [[0.0000, 0.0000, 0.0000], [0.2500, 0.7500, 0.5000], [0.7500, 0.2500, 0.5000], [0.5000, 0.5000, 0.0000]]
}


{
  "formula": "CdCuIr2",
  "functional": "PBE-GGA",
  "state": "optimized geometry",
  "space_group": "No. 123",
  "e_form_ev_per_atom": 0.335,
  "dos_ef_per_ev_fu": 6.07,
  "lattice": [[3.8551, 0.0000, 0.0000], [0.0000, 3.8551, 0.0000], [0.0000, 0.0000, 4.1369]],
  "species": ["Cd", "Cu", "Ir", "Ir"],
  "fractional_positions": [[0.0000, 0.0000, 0.0000], [0.5000, 0.5000, 0.0000], [0.0000, 0.5000, 0.5000], [0.5000, 0.0000, 0.5000]]
}


{
  "formula": "TlSn3Pb6",
  "functional": "PBE-GGA",
  "state": "optimized geometry",
  "space_group": "No. 36",
  "e_form_ev_per_atom": 0.064,
  "dos_ef_per_ev_fu": 5.76,
  "lattice": [[4.8613, -8.2478, 0.0000], [4.8613, 8.2478, 0.0000], [0.0000, 0.0000, 7.8477]],
  "species": ["Tl", "Tl", "Sn", "Sn", "Sn", "Sn", "Sn", "Sn", "Pb", "Pb", "Pb", "Pb", "Pb", "Pb", "Pb", "Pb", "Pb", "Pb", "Pb", "Pb"],
  "fractional_positions": [[0.1746, 0.8254, 0.5000], [0.8254, 0.1746, 0.0000], [0.0382, 0.2985, 0.6363], [0.2985, 0.0382, 0.1363], [0.3813, 0.6187, 0.5710], [0.6187, 0.3813, 0.0710], [0.7015, 0.9618, 0.6363], [0.9618, 0.7015, 0.1363], [0.0339, 0.9661, 0.8142], [0.1224, 0.4768, 0.2590], [0.2687, 0.7313, 0.9027], [0.2817, 0.3524, 0.9543], [0.3524, 0.2817, 0.4543], [0.4768, 0.1224, 0.7590], [0.5232, 0.8776, 0.2590], [0.6476, 0.7183, 0.9543], [0.7183, 0.6476, 0.4543], [0.7313, 0.2687, 0.4027], [0.8776, 0.5232, 0.7590], [0.9661, 0.0339, 0.3142]]
}


{
  "formula": "Pa5As4C",
  "functional": "PBE-GGA",
  "state": "optimized geometry",
  "space_group": "No. 87",
  "e_form_ev_per_atom": -0.866,
  "dos_ef_per_ev_fu": 11.16,
  "lattice": [[-4.4563, 4.4563, 2.8470], [4.4563, -4.4563, 2.8470], [4.4563, 4.4563, -2.8470]],
  "species": ["Pa", "Pa", "Pa", "Pa", "Pa", "As", "As", "As", "As", "C"],
  "fractional_positions": [[0.0000, 0.0000, 0.0000], [0.2292, 0.5944, 0.8237], [0.4056, 0.2292, 0.6348], [0.5944, 0.7708, 0.3652], [0.7708, 0.4056, 0.1763], [0.0881, 0.3067, 0.3948], [0.3067, 0.9119, 0.2185], [0.6933, 0.0881, 0.7815], [0.9119, 0.6933, 0.6052], [0.5000, 0.5000, 0.0000]]
}


{
  "formula": "TeIN2Cl",
  "functional": "PBE-GGA",
  "state": "optimized geometry",
  "space_group": "No. 123",
  "e_form_raw_ev_per_atom": 1.7106,
  "dos_ef_per_ev_fu": 3.20,
  "lattice": [[4.0310, 0.0000, 0.0000], [0.0000, 4.0310, 0.0000], [0.0000, 0.0000, 7.0125]],
  "species": ["Te", "I", "N", "N", "Cl"],
  "fractional_positions": [[0.0000, 0.0000, 0.0000], [0.0000, 0.0000, 0.5000], [0.0000, 0.5000, 0.5000], [0.5000, 0.0000, 0.5000], [0.5000, 0.5000, 0.0000]]
}